No. 1
Below is crystalline Rb2BSe4 at its relaxed geometry, with properties calculated at the GGA-PBE level.

Results
Uncorrected formation energy   -0.134 eV per atom
Electronic total energy   -3.3558 eV/atom
Size of the total moment   0.1863 μB/atom

a = 5.707 Å, b = 5.707 Å, c = 14.991 Å
α = 90.00°, β = 90.00°, γ = 90.00°
Space group I4/mmm (No. 139)
Inequivalent atoms, fractional coordinates:
Rb1 0.000 0.000 0.130 x4
B1 0.000 0.000 0.500 x2
Se1 0.000 0.000 0.376 x4
Se2 0.000 0.500 0.000 x4

***

No. 2
Below is crystalline RbB2Se at its relaxed geometry, with properties calculated at the GGA-PBE level.

Results
Uncorrected formation energy   1.337 eV per atom
Electronic total energy   -3.1149 eV/atom
Size of the total moment   0.2424 μB/atom

a = 7.075 Å, b = 7.075 Å, c = 7.076 Å
α = 90.00°, β = 90.00°, γ = 90.00°
Space group I-42d (No. 122)
Inequivalent atoms, fractional coordinates:
Rb1 0.000 0.000 0.000 x4
B1 0.150 0.750 0.625 x8
Se1 0.000 0.000 0.500 x4

***

No. 3
Below is crystalline Rb2BSe5 at its relaxed geometry, with properties calculated at the GGA-PBE level.

Results
Uncorrected formation energy   -0.436 eV per atom
Electronic total energy   -3.6900 eV/atom
Size of the total moment   0.0000 μB/atom

a = 12.554 Å, b = 7.095 Å, c = 7.107 Å
α = 90.00°, β = 102.99°, γ = 90.00°
Space group Cm (No. 8)
Inequivalent atoms, fractional coordinates:
Rb1 0.000 0.000 0.000 x2
Rb2 0.021 0.500 0.601 x2
B1 0.169 0.000 0.595 x2
Se1 0.016 0.000 0.496 x2
Se2 0.244 0.263 0.972 x4
Se3 0.264 0.235 0.652 x4

***

No. 4
Below is crystalline Rb3B2Se8 at its relaxed geometry, with properties calculated at the GGA-PBE level.

Results
Uncorrected formation energy   -0.283 eV per atom
Electronic total energy   -3.6779 eV/atom
Size of the total moment   0.0000 μB/atom

a = 6.5398 Å, b = 6.5398 Å, c = 30.5701 Å
α = 90.00°, β = 90.00°, γ = 120.00°
Space group R-3m (No. 166, hexagonal axes)
Inequivalent atoms, fractional coordinates:
Rb1 0.0000 0.0000 0.0000 x3
Rb2 0.0000 0.0000 0.2622 x6
B1 0.0000 0.0000 0.4402 x6
Se1 0.0000 0.0000 0.3738 x6
Se2 0.0076 0.5038 0.7990 x18